Density functional theory data (GGA+U) for an optimized crystal structure of K2ErCoO4.

```
K2ErCoO4
1.0
-1.509 -5.050 2.054
4.832 -4.872 -0.638
3.360 0.261 10.901
Co O Er K
2 8 2 4
Cartesian
3.718 -3.568 5.645 Co
-0.755 -2.525 1.027 Co
5.754 -8.024 11.365 O
3.654 -5.624 0.941 O
3.892 -7.730 7.624 O
2.713 -2.190 4.799 O
3.706 -1.770 10.454 O
2.618 -4.061 7.119 O
0.251 -3.903 1.873 O
4.141 -5.341 5.092 O
2.964 -6.093 6.672 Er
0.000 0.000 0.000 Er
0.111 -3.953 5.942 K
4.584 -4.996 10.560 K
1.740 -0.836 7.013 K
1.344 -7.190 2.784 K
```

## Properties
Space-group type   Fddd
Energy   -89.6 eV for the cell shown